PaCu2WO8: optimized geometry, GGA+U.

Properties
Space-group type: I-4m2
Total moment (Bohr magnetons per cell): 2.67
V (Å³ per cell): 148
Total DFT energy (no corrections) (eV/cell): -84.8

abc: 5.7662 5.7662 5.7662
angles: 109.80 109.80 108.81
Last column: nearest neighbours and their distance in Å.
Positions (direct):
Cu: 0.7500 0.2500 0.5000  4 O 1.89
O: 0.3003 0.0965 0.7962  1 Cu 1.90, 1 W 1.99
O: 0.9746 0.3022 0.3275  1 Cu 1.89
O: 0.4959 0.6997 0.7962  1 Cu 1.90, 1 W 1.99
O: 0.6978 0.0254 0.6725  1 Cu 1.89
O: 0.9035 0.6997 0.2038  1 Cu 1.90, 1 W 1.99
O: 0.9746 0.6471 0.6725  1 Cu 1.89
Pa: 0.0000 0.0000 0.0000  8 O 2.18-2.43
Cu: 0.5000 0.5000 0.0000  4 O 1.90
O: 0.3003 0.5041 0.2038  1 Cu 1.90, 1 W 1.99
O: 0.3529 0.0254 0.3275  1 Cu 1.89
W: 0.2500 0.7500 0.5000  8 O 1.99-2.17